# La2TcIr

A geometry-optimized La2TcIr structure (PBE, the Alexandria database).

space-group type: Cmm2
ΔE_f: 0.0837 eV per atom
total magnetization: 0.00 μB per cell
density: 9.35 g/cm³
polymorph energy (0 for the lowest one): 0.316 eV/atom

Cell: 4.602 5.015 8.746 Å, 90.00 90.00 90.00°
Atoms (fractional coordinates):
La  0.000  0.000  0.000
La  0.000  0.500  0.396
La  0.500  0.000  0.396
La  0.500  0.500  0.000
Tc  0.000  0.500  0.752
Tc  0.500  0.000  0.752
Ir  0.000  0.000  0.635
Ir  0.500  0.500  0.635